No. 1
This record from the Alexandria database describes LiPbIO2 after structural relaxation. The functional is PBE.

```
LiPbIO2
1.0
4.376 0.000 0.000
0.000 4.376 0.000
0.000 0.000 5.512
I Li Pb O
1 1 1 2
Direct
0.000 0.000 0.500 I
0.000 0.000 0.000 Li
0.500 0.500 0.500 Pb
0.500 0.000 0.000 O
0.000 0.500 0.000 O
```

Output
Magnetic moment = 2.0 μB per formula unit
Distance to the lowest polymorph of the same formula = 485.4 meV/atom
SG = No. 123
ΔE_f (raw) = -0.09 eV per atom

---

No. 2
This record from the Alexandria database describes Co5Ir6 after structural relaxation. The functional is PBE.

```
Co5Ir6
1.0
-1.665 2.776 1.875
1.901 -2.975 6.092
3.960 4.309 0.869
Ir Co
6 5
Direct
0.500 0.751 0.000 Ir
0.836 0.755 0.327 Ir
0.500 0.249 0.000 Ir
0.164 0.755 0.673 Ir
0.836 0.245 0.327 Ir
0.164 0.245 0.673 Ir
0.328 0.500 0.344 Co
0.330 0.000 0.340 Co
0.000 0.500 0.000 Co
0.670 0.000 0.660 Co
0.672 0.500 0.656 Co
```

Output
Formation energy = 215 kJ/mol of formula units
Magnetic moment = 4.3 μB per formula unit
Distance to the lowest polymorph of the same formula = 42.6 meV/atom
SG = No. 65

---

No. 3
This record from the Alexandria database describes Na2InPd3 after structural relaxation. The functional is PBE.

```
Na2InPd3
1.0
2.948 0.000 0.000
0.000 5.495 0.000
-1.474 -2.748 7.512
Pd Na In
3 2 1
Direct
0.350 0.350 0.700 Pd
0.000 0.000 0.000 Pd
0.650 0.650 0.300 Pd
0.673 0.173 0.345 Na
0.327 0.827 0.655 Na
0.000 0.500 0.000 In
```

Output
Formation energy = -36 kJ/mol of formula units
Magnetic moment = 0.0 μB per formula unit
Distance to the lowest polymorph of the same formula = 278.4 meV/atom
SG = No. 71

---

No. 4
This record from the Alexandria database describes AgH8IrPd2 after structural relaxation. The functional is PBE.

```
AgH8IrPd2
1.0
-0.487 1.963 3.738
-3.230 -2.614 0.865
3.427 -3.687 2.600
H Ag Pd Ir
8 1 2 1
Direct
0.663 0.667 0.514 H
0.337 0.333 0.486 H
0.294 0.287 0.031 H
0.796 0.199 0.781 H
0.204 0.801 0.219 H
0.807 0.210 0.218 H
0.706 0.713 0.969 H
0.193 0.790 0.782 H
0.000 0.000 0.500 Ag
0.471 0.471 0.756 Pd
0.529 0.529 0.244 Pd
0.000 0.000 0.000 Ir
```

Output
Magnetic moment = 0.0 μB per formula unit
SG = No. 2
Electronic total energy = -47.8 eV/cell